DFT (PBE-GGA) results for a relaxed structure of Li2CO.

## Properties
excess energy over the best structure of this formula in the dataset: 130 meV per atom
symmetry: No. 225
formation energy from raw total energies: 442 meV/atom

a b c (Å): 3.655 3.655 3.655
angles (deg): 60.00 60.00 60.00
Fractional positions:
Li  0.250  0.250  0.250
Li  0.750  0.750  0.750
C  0.000  0.000  0.000
O  0.500  0.500  0.500

DFT (PBE-GGA) results for a relaxed structure of Li2CO.

## Properties
excess energy over the best structure of this formula in the dataset: 0 meV per atom
symmetry: No. 122
formation energy from raw total energies: 312 meV/atom

a b c (Å): 4.655 4.655 4.655
angles (deg): 101.56 101.56 126.81
Fractional positions:
Li  0.048  0.625  0.923
Li  0.375  0.298  0.423
Li  0.702  0.125  0.077
Li  0.875  0.952  0.577
C  0.250  0.750  0.500
C  0.500  0.500  0.000
O  0.000  0.000  0.000
O  0.750  0.250  0.500

DFT (PBE-GGA) results for a relaxed structure of Li3C2O6.

## Properties
symmetry: No. 147
formation energy from raw total energies: -1610 meV/atom

a b c (Å): 4.903 4.903 6.211
angles (deg): 90.00 90.00 120.00
Fractional positions:
Li  0.000  0.000  0.000
Li  0.333  0.667  0.728
Li  0.667  0.333  0.272
C  0.333  0.667  0.214
C  0.667  0.333  0.786
O  0.080  0.684  0.215
O  0.316  0.395  0.215
O  0.395  0.080  0.785
O  0.605  0.920  0.215
O  0.684  0.605  0.785
O  0.920  0.316  0.785

DFT (PBE-GGA) results for a relaxed structure of LiCO3.

## Properties
symmetry: No. 15
formation energy from raw total energies: -1376 meV/atom

a b c (Å): 6.256 6.256 5.852
angles (deg): 106.01 106.01 84.29
Fractional positions:
Li  0.107  0.893  0.750
Li  0.287  0.713  0.250
Li  0.713  0.287  0.750
Li  0.893  0.107  0.250
C  0.184  0.374  0.756
C  0.374  0.184  0.256
C  0.626  0.816  0.744
C  0.816  0.626  0.244
O  0.029  0.232  0.659
O  0.148  0.583  0.842
O  0.232  0.029  0.159
O  0.313  0.388  0.277
O  0.388  0.313  0.777
O  0.417  0.852  0.658
O  0.583  0.148  0.342
O  0.612  0.687  0.223
O  0.687  0.612  0.723
O  0.768  0.971  0.841
O  0.852  0.417  0.158
O  0.971  0.768  0.341

DFT (PBE-GGA) results for a relaxed structure of Li2CO4.

## Properties
excess energy over the best structure of this formula in the dataset: 154 meV per atom
symmetry: No. 63
formation energy from raw total energies: -1179 meV/atom

a b c (Å): 5.547 5.547 5.188
angles (deg): 90.00 90.00 112.67
Fractional positions:
Li  0.059  0.388  0.250
Li  0.388  0.059  0.750
Li  0.612  0.941  0.250
Li  0.941  0.612  0.750
C  0.133  0.867  0.250
C  0.867  0.133  0.750
O  0.136  0.241  0.750
O  0.219  0.781  0.033
O  0.219  0.781  0.467
O  0.241  0.136  0.250
O  0.759  0.864  0.750
O  0.781  0.219  0.533
O  0.781  0.219  0.967
O  0.864  0.759  0.250

DFT (PBE-GGA) results for a relaxed structure of LiCO3.

## Properties
symmetry: No. 167
formation energy from raw total energies: -1372 meV/atom

a b c (Å): 6.028 6.028 6.028
angles (deg): 46.56 46.56 46.56
Fractional positions:
Li  0.000  0.000  0.000
Li  0.500  0.500  0.500
C  0.250  0.250  0.250
C  0.750  0.750  0.750
O  0.019  0.750  0.481
O  0.250  0.519  0.981
O  0.481  0.019  0.750
O  0.519  0.981  0.250
O  0.750  0.481  0.019
O  0.981  0.250  0.519